1.
Below is a geometry-optimized Tb6Ho2In structure, with properties calculated at the PBE level.

Output
Spin magnetization = 0.000 μB per formula unit
Energy = -4.43 eV per atom

Unit cell a=11.3278 b=11.3278 c=6.0264 alpha=105.41 beta=105.41 gamma=47.93
Closest atoms and distances in Å follow each position.
Positions (direct):
1 Tb 0.0053 0.1510 0.4282  2 In 3.30-3.41, 6 Tb 3.30-3.52, 1 Ho 3.52
2 Tb 0.0821 0.5814 0.0818  5 Tb 3.24-3.52, 1 In 3.33, 4 Ho 3.46-3.52
3 Tb 0.1510 0.0053 0.9282  2 In 3.30-3.41, 6 Tb 3.30-3.52, 1 Ho 3.52
4 Tb 0.3480 0.4954 0.7701  2 In 3.30-3.41, 6 Tb 3.30-3.52, 1 Ho 3.52
5 Tb 0.4186 0.9179 0.4182  5 Tb 3.24-3.52, 1 In 3.33, 4 Ho 3.46-3.52
6 Tb 0.4954 0.3480 0.2701  2 In 3.30-3.41, 6 Tb 3.30-3.52, 1 Ho 3.52
7 Tb 0.5046 0.6520 0.7299  2 In 3.30-3.41, 6 Tb 3.30-3.52, 1 Ho 3.52
8 Tb 0.5814 0.0821 0.5818  5 Tb 3.24-3.52, 1 In 3.33, 4 Ho 3.46-3.52
9 Tb 0.6520 0.5046 0.2299  2 In 3.30-3.41, 6 Tb 3.30-3.52, 1 Ho 3.52
10 Tb 0.8490 0.9947 0.0718  2 In 3.30-3.41, 6 Tb 3.30-3.52, 1 Ho 3.52
11 Tb 0.9179 0.4186 0.9182  5 Tb 3.24-3.52, 1 In 3.33, 4 Ho 3.46-3.52
12 Tb 0.9947 0.8490 0.5718  2 In 3.30-3.41, 6 Tb 3.30-3.52, 1 Ho 3.52
13 Ho 0.1697 0.3299 0.4478  3 Ho 3.19-3.35, 6 Tb 3.46-3.52
14 Ho 0.3299 0.1697 0.9478  3 Ho 3.19-3.35, 6 Tb 3.46-3.52
15 Ho 0.6701 0.8303 0.0522  3 Ho 3.19-3.35, 6 Tb 3.46-3.52
16 Ho 0.8303 0.6701 0.5522  3 Ho 3.19-3.35, 6 Tb 3.46-3.52
17 In 0.2506 0.7494 0.2500  10 Tb 3.30-3.41
18 In 0.7494 0.2506 0.7500  10 Tb 3.30-3.41

=====

2.
Below is a geometry-optimized NaCe3Sm2Se6 structure, with properties calculated at the PBE level.

Output
Formation energy without anion corrections = -1756 meV per atom
Spin magnetization = 1.229 μB per formula unit
Energy = -5.88 eV per atom

Unit cell a=9.3932 b=9.3932 c=8.4253 alpha=102.69 beta=102.69 gamma=25.77
Closest atoms and distances in Å follow each position.
Positions (direct):
1 Na 0.0000 0.0000 0.0000  6 Se 2.95-2.97
2 Ce 0.0000 0.0000 0.5000  6 Se 2.96-2.98
3 Ce 0.3338 0.3338 0.1661  6 Se 2.97-3.00
4 Ce 0.6662 0.6662 0.8339  6 Se 2.97-3.00
5 Sm 0.3314 0.3314 0.6611  6 Se 2.95-2.98
6 Sm 0.6686 0.6686 0.3389  6 Se 2.95-2.98
7 Se 0.1656 0.1656 0.0866  1 Na 2.95, 2 Sm 2.98, 3 Ce 2.99-3.00
8 Se 0.1662 0.1662 0.5835  3 Sm 2.95, 3 Ce 2.96-2.97
9 Se 0.4983 0.4983 0.7500  2 Na 2.97, 3 Ce 2.98-3.00, 1 Sm 2.98
10 Se 0.5017 0.5017 0.2500  2 Na 2.97, 3 Ce 2.98-3.00, 1 Sm 2.98
11 Se 0.8338 0.8338 0.4165  3 Sm 2.95, 3 Ce 2.96-2.97
12 Se 0.8344 0.8344 0.9134  1 Na 2.95, 2 Sm 2.98, 3 Ce 2.99-3.00

=====

3.
Below is a geometry-optimized Tb15CeEr4 structure, with properties calculated at the PBE level.

Output
Spin magnetization = 0.934 μB per formula unit
Energy = -4.65 eV per atom

Unit cell a=5.0188 b=5.0188 c=25.1122 alpha=90.00 beta=90.00 gamma=90.00
Closest atoms and distances in Å follow each position.
Positions (direct):
1 Tb 0.0000 0.0000 0.0000  8 Tb 3.55, 4 Ce 3.55
2 Tb 0.0000 0.0000 0.2014  8 Tb 3.53-3.58, 4 Er 3.55
3 Tb 0.0000 0.0000 0.4001  8 Tb 3.55, 4 Er 3.55
4 Tb 0.0000 0.0000 0.5999  8 Tb 3.55, 4 Er 3.55
5 Tb 0.0000 0.0000 0.7986  8 Tb 3.53-3.58, 4 Er 3.55
6 Tb 0.0000 0.5000 0.0998  2 Ce 3.55, 8 Tb 3.55-3.58, 2 Er 3.55
7 Tb 0.0000 0.5000 0.3000  8 Tb 3.53-3.55, 4 Er 3.55
8 Tb 0.0000 0.5000 0.5000  8 Tb 3.55, 4 Er 3.55
9 Tb 0.0000 0.5000 0.7000  8 Tb 3.53-3.55, 4 Er 3.55
10 Tb 0.0000 0.5000 0.9002  2 Ce 3.55, 8 Tb 3.55-3.58, 2 Er 3.55
11 Tb 0.5000 0.0000 0.0998  2 Ce 3.55, 8 Tb 3.55-3.58, 2 Er 3.55
12 Tb 0.5000 0.0000 0.3000  8 Tb 3.53-3.55, 4 Er 3.55
13 Tb 0.5000 0.0000 0.5000  8 Tb 3.55, 4 Er 3.55
14 Tb 0.5000 0.0000 0.7000  8 Tb 3.53-3.55, 4 Er 3.55
15 Tb 0.5000 0.0000 0.9002  2 Ce 3.55, 8 Tb 3.55-3.58, 2 Er 3.55
16 Ce 0.5000 0.5000 0.0000  12 Tb 3.55
17 Er 0.5000 0.5000 0.1998  12 Tb 3.55
18 Er 0.5000 0.5000 0.4000  12 Tb 3.55
19 Er 0.5000 0.5000 0.6000  12 Tb 3.55
20 Er 0.5000 0.5000 0.8002  12 Tb 3.55

=====

4.
Below is a geometry-optimized Ac3Nd4Ir4 structure, with properties calculated at the PBE level.

Output
Spin magnetization = 0.000 μB per formula unit
Energy = -6.58 eV per atom

Unit cell a=9.6712 b=9.6712 c=9.6712 alpha=155.09 beta=124.59 gamma=61.66
Closest atoms and distances in Å follow each position.
Positions (direct):
1 Ac 0.0000 0.0000 0.0000  4 Ir 3.24
2 Ac 0.3978 0.8978 0.5000  6 Ir 3.24-3.36, 1 Ac 3.39
3 Ac 0.6022 0.1022 0.5000  6 Ir 3.24-3.36, 1 Ac 3.39
4 Nd 0.0195 0.3307 0.6888  4 Ir 2.92-3.12
5 Nd 0.3581 0.6693 0.6888  4 Ir 2.92-3.12
6 Nd 0.6419 0.3307 0.3112  4 Ir 2.92-3.12
7 Nd 0.9805 0.6693 0.3112  4 Ir 2.92-3.12
8 Ir 0.2482 0.2482 0.0000  6 Nd 2.99-3.12, 2 Ac 3.24
9 Ir 0.2753 0.5000 0.7753  2 Nd 2.92, 2 Ac 3.24
10 Ir 0.7247 0.5000 0.2247  2 Nd 2.92, 2 Ac 3.24
11 Ir 0.7518 0.7518 0.0000  6 Nd 2.99-3.12, 2 Ac 3.24

=====

5.
Below is a geometry-optimized PmHoMgAu structure, with properties calculated at the PBE level.

Output
Spin magnetization = 0.000 μB per formula unit
Energy = -4.01 eV per atom

Unit cell a=3.7305 b=3.7305 c=7.3764 alpha=90.00 beta=90.00 gamma=90.00
Closest atoms and distances in Å follow each position.
Positions (direct):
1 Pm 0.0000 0.0000 0.0000  4 Au 3.26, 4 Mg 3.32, 1 Ho 3.47
2 Ho 0.0000 0.0000 0.4704  4 Au 3.06, 4 Mg 3.24
3 Mg 0.5000 0.5000 0.7266  4 Ho 3.24, 4 Pm 3.32, 1 Au 3.45
4 Au 0.5000 0.5000 0.2591  4 Ho 3.06, 4 Pm 3.26

=====

6.
Below is a geometry-optimized BeSnMoPb2 structure, with properties calculated at the PBE level.

Output
Spin magnetization = 4.157 μB per formula unit
Energy = -3.81 eV per atom

Unit cell a=5.9540 b=5.9540 c=4.3585 alpha=90.00 beta=90.00 gamma=90.00
Closest atoms and distances in Å follow each position.
Positions (direct):
1 Be 0.0000 0.0000 0.0000  2 Sn 2.18
2 Sn 0.0000 0.0000 0.5000  2 Be 2.18
3 Mo 0.5000 0.5000 0.0000  8 Pb 3.69
4 Pb 0.0000 0.5000 0.5000  2 Sn 2.98
5 Pb 0.5000 0.0000 0.5000  2 Sn 2.98

=====

7.
Below is a geometry-optimized NaPr2Hg6 structure, with properties calculated at the PBE level.

Output
Spin magnetization = 0.369 μB per formula unit
Energy = -1.76 eV per atom

Unit cell a=8.8343 b=8.8343 c=3.4407 alpha=90.00 beta=90.00 gamma=120.00
Closest atoms and distances in Å follow each position.
Positions (direct):
1 Na 0.0000 0.0000 0.0000  12 Hg 3.39, 2 Na 3.44
2 Pr 0.3333 0.6667 0.0000  12 Hg 3.42, 2 Pr 3.44
3 Pr 0.6667 0.3333 0.0000  12 Hg 3.42, 2 Pr 3.44
4 Hg 0.0000 0.3301 0.5000  3 Hg 2.92-3.00
5 Hg 0.0000 0.6699 0.5000  3 Hg 2.92-3.00
6 Hg 0.3301 0.0000 0.5000  3 Hg 2.92-3.00
7 Hg 0.3301 0.3301 0.5000  3 Hg 2.92-3.00
8 Hg 0.6699 0.0000 0.5000  3 Hg 2.92-3.00
9 Hg 0.6699 0.6699 0.5000  3 Hg 2.92-3.00

=====

8.
Below is a geometry-optimized RbH2Rh structure, with properties calculated at the PBE level.

Output
Spin magnetization = 0.000 μB per formula unit
Energy = -3.73 eV per atom

Unit cell a=5.6506 b=5.6506 c=5.6506 alpha=120.08 beta=120.08 gamma=89.86
Closest atoms and distances in Å follow each position.
Positions (direct):
1 Rb 0.0000 0.0000 0.0000  12 H 3.23-3.39, 4 Rh 3.46, 4 Rb 3.46
2 Rb 0.7500 0.2500 0.5000  12 H 3.23-3.39, 4 Rh 3.46, 4 Rb 3.46
3 H 0.3579 0.6250 0.2329  2 Rh 1.73
4 H 0.3750 0.6079 0.7329  2 Rh 1.73
5 H 0.3921 0.1250 0.7671  2 Rh 1.73
6 H 0.8750 0.6421 0.2671  2 Rh 1.73
7 Rh 0.2500 0.7500 0.5000  4 H 1.73
8 Rh 0.5000 0.5000 0.0000  4 H 1.73